Cs2ScFe after structural relaxation. Source: Alexandria via LeMat-Bulk, functional PBEsol.

a b c (Å): 8.411 8.411 8.411
angles (deg): 90.00 90.00 90.00
Space group Fm-3m (No. 225)
Unique sites:
Cs1 0.250 0.250 0.250 (multiplicity 8)
Sc1 0.000 0.000 0.000 (multiplicity 4)
Fe1 0.000 0.000 0.500 (multiplicity 4)

Summary:
**Energy of formation from the pure elements**: 1.482 eV/atom

***

MgCu2 after structural relaxation. Source: Alexandria via LeMat-Bulk, functional PBEsol.

a b c (Å): 3.742 3.742 22.921
angles (deg): 90.00 90.00 90.00
Space group I4_1/amd (No. 141, origin choice 2)
Unique sites:
Mg1 0.000 0.250 0.296 (multiplicity 8)
Cu1 0.000 0.250 0.126 (multiplicity 8)
Cu2 0.000 0.250 0.795 (multiplicity 8)

Summary:
**Energy of formation from the pure elements**: -0.021 eV/atom

***

FeOsRu3 after structural relaxation. Source: Alexandria via LeMat-Bulk, functional PBEsol.

a b c (Å): 4.235 4.235 4.235
angles (deg): 90.00 90.00 90.00
Space group Pm-3m (No. 221)
Unique sites:
Fe1 0.000 0.000 0.000 (multiplicity 1)
Os1 0.500 0.500 0.500 (multiplicity 1)
Ru1 0.000 0.000 0.500 (multiplicity 3)

Summary:
**Energy of formation from the pure elements**: 1.756 eV/atom
**Offset from the most stable computed form**: 0 meV/atom

***

NiRh3 after structural relaxation. Source: Alexandria via LeMat-Bulk, functional PBEsol.

a b c (Å): 5.261 7.409 2.644
angles (deg): 90.00 90.00 90.00
Space group Cmmm (No. 65)
Unique sites:
Ni1 0.000 0.000 0.000 (multiplicity 2)
Rh1 0.000 0.500 0.000 (multiplicity 2)
Rh2 0.250 0.250 0.500 (multiplicity 4)

Summary:
**Energy of formation from the pure elements**: 0.061 eV/atom

***

BiTeMo3 after structural relaxation. Source: Alexandria via LeMat-Bulk, functional PBEsol.

a b c (Å): 5.008 5.008 5.008
angles (deg): 90.00 90.00 90.00
Space group Pm-3m (No. 221)
Unique sites:
Bi1 0.000 0.000 0.000 (multiplicity 1)
Te1 0.500 0.500 0.500 (multiplicity 1)
Mo1 0.000 0.000 0.500 (multiplicity 3)

Summary:
**ΔE_f (raw)**: 2436 meV/atom

***

LaTiPCl2 after structural relaxation. Source: Alexandria via LeMat-Bulk, functional PBEsol.

a b c (Å): 5.296 5.296 5.727
angles (deg): 90.00 90.00 90.00
Space group P4/mmm (No. 123)
Unique sites:
La1 0.000 0.000 0.000 (multiplicity 1)
Ti1 0.500 0.500 0.500 (multiplicity 1)
P1 0.000 0.000 0.500 (multiplicity 1)
Cl1 0.000 0.500 0.000 (multiplicity 2)

Summary:
**ΔE_f (raw)**: -320 meV/atom

***

CdAg2Hg after structural relaxation. Source: Alexandria via LeMat-Bulk, functional PBEsol.

a b c (Å): 3.115 3.115 7.638
angles (deg): 90.00 90.00 90.00
Space group P4mm (No. 99)
Unique sites:
Cd1 0.000 0.000 0.000 (multiplicity 1)
Ag1 0.000 0.000 0.473 (multiplicity 1)
Ag2 0.500 0.500 0.242 (multiplicity 1)
Hg1 0.500 0.500 0.723 (multiplicity 1)

Summary:
**Energy of formation from the pure elements**: -0.007 eV/atom
**Offset from the most stable computed form**: 27 meV/atom

***

SrZn2Ir after structural relaxation. Source: Alexandria via LeMat-Bulk, functional PBEsol.

a b c (Å): 4.499 4.499 7.352
angles (deg): 90.00 90.00 90.00
Space group I-4m2 (No. 119)
Unique sites:
Sr1 0.000 0.000 0.000 (multiplicity 2)
Zn1 0.000 0.000 0.500 (multiplicity 2)
Zn2 0.000 0.500 0.750 (multiplicity 2)
Ir1 0.000 0.500 0.250 (multiplicity 2)

Summary:
**Energy of formation from the pure elements**: 0.205 eV/atom

***

BN after structural relaxation. Source: Alexandria via LeMat-Bulk, functional PBEsol.

a b c (Å): 2.5424 2.5424 4.2051
angles (deg): 90.00 90.00 120.00
Space group P6_3mc (No. 186)
Unique sites:
B1 0.3333 0.6667 0.0000 (multiplicity 2)
N1 0.3333 0.6667 0.3744 (multiplicity 2)

Summary:
**ΔE_f (raw)**: -1385 meV/atom
**Offset from the most stable computed form**: 17 meV/atom

***

Cs2KTl2 after structural relaxation. Source: Alexandria via LeMat-Bulk, functional PBEsol.

a b c (Å): 9.023 9.023 6.267
angles (deg): 90.00 90.00 90.00
Space group P4/mbm (No. 127)
Unique sites:
Cs1 0.178 0.322 0.000 (multiplicity 4)
K1 0.000 0.000 0.500 (multiplicity 2)
Tl1 0.114 0.614 0.500 (multiplicity 4)

Summary:
**Energy of formation from the pure elements**: 0.012 eV/atom
**Offset from the most stable computed form**: 0 meV/atom

***

CoNiCl2 after structural relaxation. Source: Alexandria via LeMat-Bulk, functional PBEsol.

a b c (Å): 3.250 3.437 5.542
angles (deg): 90.00 96.25 90.00
Space group P2/m (No. 10)
Unique sites:
Co1 0.000 0.000 0.000 (multiplicity 1)
Ni1 0.500 0.000 0.500 (multiplicity 1)
Cl1 0.251 0.500 0.248 (multiplicity 2)

Summary:
**ΔE_f (raw)**: 245 meV/atom

***

HgSeCl2 after structural relaxation. Source: Alexandria via LeMat-Bulk, functional PBEsol.

a b c (Å): 3.342 3.342 7.778
angles (deg): 90.00 90.00 90.00
Space group P4mm (No. 99)
Unique sites:
Hg1 0.000 0.000 0.000 (multiplicity 1)
Se1 0.500 0.500 0.244 (multiplicity 1)
Cl1 0.000 0.000 0.450 (multiplicity 1)
Cl2 0.500 0.500 0.800 (multiplicity 1)

Summary:
**ΔE_f (raw)**: 154 meV/atom
**Offset from the most stable computed form**: 287 meV/atom

***

CdCo2Se after structural relaxation. Source: Alexandria via LeMat-Bulk, functional PBEsol.

a b c (Å): 4.171 3.011 5.049
angles (deg): 90.00 114.31 90.00
Space group P2/m (No. 10)
Unique sites:
Cd1 0.000 0.000 0.000 (multiplicity 1)
Co1 0.500 0.000 0.500 (multiplicity 1)
Co2 0.500 0.500 0.000 (multiplicity 1)
Se1 0.000 0.500 0.500 (multiplicity 1)

Summary:
**ΔE_f (raw)**: 408 meV/atom

***

Li2ZnRu after structural relaxation. Source: Alexandria via LeMat-Bulk, functional PBEsol.

a b c (Å): 2.652 4.410 9.022
angles (deg): 90.00 90.00 90.00
Space group Immm (No. 71)
Unique sites:
Li1 0.000 0.000 0.243 (multiplicity 4)
Zn1 0.000 0.500 0.500 (multiplicity 2)
Ru1 0.000 0.500 0.000 (multiplicity 2)

Summary:
**Energy of formation from the pure elements**: 0.032 eV/atom

***

CdWC3 after structural relaxation. Source: Alexandria via LeMat-Bulk, functional PBEsol.

a b c (Å): 4.014 4.014 4.014
angles (deg): 90.00 90.00 90.00
Space group Pm-3m (No. 221)
Unique sites:
Cd1 0.000 0.000 0.000 (multiplicity 1)
W1 0.500 0.500 0.500 (multiplicity 1)
C1 0.000 0.000 0.500 (multiplicity 3)

Summary:
**Energy of formation from the pure elements**: 3.688 eV/atom

***

TaAgSe2 after structural relaxation. Source: Alexandria via LeMat-Bulk, functional PBEsol.

a b c (Å): 3.1763 3.1763 27.6949
angles (deg): 90.00 90.00 120.00
Space group R3m (No. 160, hexagonal axes)
Unique sites:
Ta1 0.0000 0.0000 0.0000 (multiplicity 3)
Ag1 0.0000 0.0000 0.7471 (multiplicity 3)
Se1 0.0000 0.0000 0.2700 (multiplicity 3)
Se2 0.0000 0.0000 0.4880 (multiplicity 3)

Summary:
**ΔE_f (raw)**: -11 meV/atom

***

CdHg after structural relaxation. Source: Alexandria via LeMat-Bulk, functional PBEsol.

a b c (Å): 3.1243 3.1243 10.2936
angles (deg): 90.00 90.00 120.00
Space group P-3m1 (No. 164)
Unique sites:
Cd1 0.3333 0.6667 0.3769 (multiplicity 2)
Hg1 0.3333 0.6667 0.8723 (multiplicity 2)

Summary:
**Energy of formation from the pure elements**: 0.026 eV/atom

***

Ca3CdMo after structural relaxation. Source: Alexandria via LeMat-Bulk, functional PBEsol.

a b c (Å): 5.358 5.358 5.358
angles (deg): 90.00 90.00 90.00
Space group Pm-3m (No. 221)
Unique sites:
Ca1 0.000 0.000 0.500 (multiplicity 3)
Cd1 0.500 0.500 0.500 (multiplicity 1)
Mo1 0.000 0.000 0.000 (multiplicity 1)

Summary:
**Energy of formation from the pure elements**: 0.787 eV/atom

***

ZnCu2SiSe4 after structural relaxation. Source: Alexandria via LeMat-Bulk, functional PBEsol.

a b c (Å): 5.498 5.498 10.978
angles (deg): 90.00 90.00 90.00
Space group I-42m (No. 121)
Unique sites:
Zn1 0.000 0.000 0.000 (multiplicity 2)
Cu1 0.000 0.500 0.250 (multiplicity 4)
Si1 0.000 0.000 0.500 (multiplicity 2)
Se1 0.238 0.238 0.627 (multiplicity 8)

Summary:
**ΔE_f (raw)**: -381 meV/atom

***

SrCrFe2Tc after structural relaxation. Source: Alexandria via LeMat-Bulk, functional PBEsol.

a b c (Å): 4.188 4.188 4.933
angles (deg): 90.00 90.00 90.00
Space group P4/mmm (No. 123)
Unique sites:
Sr1 0.000 0.000 0.000 (multiplicity 1)
Cr1 0.000 0.000 0.500 (multiplicity 1)
Fe1 0.000 0.500 0.500 (multiplicity 2)
Tc1 0.500 0.500 0.000 (multiplicity 1)

Summary:
**Energy of formation from the pure elements**: 1.771 eV/atom

***

Zr2TaMo after structural relaxation. Source: Alexandria via LeMat-Bulk, functional PBEsol.

a b c (Å): 6.670 6.670 6.670
angles (deg): 90.00 90.00 90.00
Space group F-43m (No. 216)
Unique sites:
Zr1 0.000 0.000 0.000 (multiplicity 4)
Zr2 0.250 0.250 0.250 (multiplicity 4)
Ta1 0.000 0.000 0.500 (multiplicity 4)
Mo1 0.250 0.250 0.750 (multiplicity 4)

Summary:
**Energy of formation from the pure elements**: 0.087 eV/atom
**Offset from the most stable computed form**: 94 meV/atom

***

YSnGe3 after structural relaxation. Source: Alexandria via LeMat-Bulk, functional PBEsol.

a b c (Å): 5.271 5.271 5.271
angles (deg): 90.00 90.00 90.00
Space group Pm-3m (No. 221)
Unique sites:
Y1 0.000 0.000 0.000 (multiplicity 1)
Sn1 0.500 0.500 0.500 (multiplicity 1)
Ge1 0.000 0.000 0.500 (multiplicity 3)

Summary:
**Energy of formation from the pure elements**: 0.657 eV/atom

***

NdH2ClO2 after structural relaxation. Source: Alexandria via LeMat-Bulk, functional PBEsol.

a b c (Å): 6.170 3.843 6.738
angles (deg): 90.00 112.78 90.00
Space group P2_1/m (No. 11)
Unique sites:
Nd1 0.190 0.250 0.366 (multiplicity 2)
H1 0.197 0.250 0.812 (multiplicity 2)
H2 0.383 0.750 0.724 (multiplicity 2)
Cl1 0.252 0.750 0.054 (multiplicity 2)
O1 0.073 0.250 0.667 (multiplicity 2)
O2 0.400 0.750 0.585 (multiplicity 2)

Summary:
**VASP energy**: -73.8 eV per cell

***

YCuOs after structural relaxation. Source: Alexandria via LeMat-Bulk, functional PBEsol.

a b c (Å): 6.074 6.074 6.074
angles (deg): 90.00 90.00 90.00
Space group F-43m (No. 216)
Unique sites:
Y1 0.000 0.000 0.000 (multiplicity 4)
Cu1 0.250 0.250 0.750 (multiplicity 4)
Os1 0.000 0.000 0.500 (multiplicity 4)

Summary:
**Energy of formation from the pure elements**: 0.467 eV/atom
**Offset from the most stable computed form**: 0 meV/atom

***

LiSi2NiO6 after structural relaxation. Source: Alexandria via LeMat-Bulk, functional PBEsol.

a b c (Å): 5.311 9.299 5.475
angles (deg): 90.00 90.00 90.00
Space group C222 (No. 21)
Unique sites:
Li1 0.000 0.000 0.000 (multiplicity 2)
Si1 0.250 0.250 0.332 (multiplicity 4)
Ni1 0.000 0.500 0.000 (multiplicity 2)
O1 0.000 0.239 0.500 (multiplicity 4)
O2 0.239 0.394 0.163 (multiplicity 8)

Summary:
**ΔE_f (raw)**: -2087 meV/atom

***

SiNi2Rh after structural relaxation. Source: Alexandria via LeMat-Bulk, functional PBEsol.

a b c (Å): 2.736 4.065 8.215
angles (deg): 90.00 90.00 90.00
Space group Immm (No. 71)
Unique sites:
Si1 0.000 0.000 0.000 (multiplicity 2)
Ni1 0.000 0.500 0.275 (multiplicity 4)
Rh1 0.000 0.000 0.500 (multiplicity 2)

Summary:
**ΔE_f (raw)**: -452 meV/atom

***

AsSe2 after structural relaxation. Source: Alexandria via LeMat-Bulk, functional PBEsol.

a b c (Å): 4.9305 4.9305 5.5026
angles (deg): 90.00 90.00 120.00
Space group P6_3/mmc (No. 194)
Unique sites:
As1 0.3333 0.6667 0.2500 (multiplicity 2)
Se1 0.0000 0.0000 0.0000 (multiplicity 2)
Se2 0.3333 0.6667 0.7500 (multiplicity 2)

Summary:
**ΔE_f (raw)**: 340 meV/atom

***

KLiHg after structural relaxation. Source: Alexandria via LeMat-Bulk, functional PBEsol.

a b c (Å): 3.753 3.753 12.353
angles (deg): 90.00 90.00 90.00
Space group I4mm (No. 107)
Unique sites:
K1 0.000 0.000 0.000 (multiplicity 2)
Li1 0.000 0.000 0.268 (multiplicity 2)
Hg1 0.000 0.000 0.706 (multiplicity 2)

Summary:
**Energy of formation from the pure elements**: -0.165 eV/atom